# 1
{"formula": "SrH4O2", "functional": "PBE-GGA", "state": "optimized geometry", "cell": [[-3.631, 0.071, -2.370], [-0.943, -7.373, 1.224], [-4.010, 1.540, 6.189]], "species": ["Sr", "Sr", "H", "H", "H", "H", "H", "H", "H", "H", "O", "O", "O", "O"], "fractional_positions": [[0.500, 0.000, 0.000], [0.000, 0.500, 0.500], [0.000, 0.879, 0.271], [0.000, 0.121, 0.729], [0.500, 0.229, 0.379], [0.500, 0.771, 0.621], [0.500, 0.621, 0.771], [0.500, 0.379, 0.229], [0.000, 0.271, 0.879], [0.000, 0.729, 0.121], [0.000, 0.139, 0.861], [0.000, 0.861, 0.139], [0.500, 0.639, 0.639], [0.500, 0.361, 0.361]], "energy_ev_per_atom": -4.402}

=====

# 2
{"formula": "SrH12O7", "functional": "PBE-GGA", "state": "optimized geometry", "cell": [[5.786, 1.877, 1.348], [1.444, 5.909, 1.348], [1.743, 1.877, 5.680]], "species": ["Sr", "H", "H", "H", "H", "H", "H", "H", "H", "H", "H", "H", "H", "O", "O", "O", "O", "O", "O", "O"], "fractional_positions": [[0.000, 0.000, 0.000], [0.745, 0.207, 0.482], [0.518, 0.255, 0.793], [0.971, 0.544, 0.541], [0.459, 0.029, 0.456], [0.793, 0.518, 0.255], [0.456, 0.459, 0.029], [0.544, 0.541, 0.971], [0.207, 0.482, 0.745], [0.541, 0.971, 0.544], [0.029, 0.456, 0.459], [0.482, 0.745, 0.207], [0.255, 0.793, 0.518], [0.461, 0.896, 0.020], [0.980, 0.539, 0.104], [0.104, 0.980, 0.539], [0.500, 0.500, 0.500], [0.896, 0.020, 0.461], [0.020, 0.461, 0.896], [0.539, 0.104, 0.980]], "energy_ev_per_atom": -4.357}

=====

# 3
{"formula": "SrHO2", "functional": "PBE-GGA", "state": "optimized geometry", "cell": [[5.271, 0.000, 0.000], [-2.636, 4.565, 0.000], [0.000, 0.000, 6.175]], "species": ["Sr", "Sr", "Sr", "H", "H", "H", "O", "O", "O", "O", "O", "O"], "fractional_positions": [[0.350, 0.350, 0.000], [0.000, 0.650, 0.667], [0.650, 0.000, 0.333], [0.325, 0.325, 0.500], [0.000, 0.675, 0.167], [0.675, 0.000, 0.833], [0.822, 0.214, 0.936], [0.393, 0.178, 0.603], [0.786, 0.607, 0.270], [0.214, 0.822, 0.064], [0.178, 0.393, 0.397], [0.607, 0.786, 0.730]], "energy_ev_per_atom": -5.317}

=====

# 4
{"formula": "SrHO2", "functional": "PBE-GGA", "state": "optimized geometry", "cell": [[1.951, 0.000, 5.799], [-0.976, 1.690, 5.799], [-0.976, -1.690, 5.799]], "species": ["Sr", "O", "O", "H"], "fractional_positions": [[0.000, 0.000, 0.000], [0.876, 0.876, 0.876], [0.124, 0.124, 0.124], [0.500, 0.500, 0.500]], "energy_ev_per_atom": -3.105}

=====

# 5
{"formula": "Sr3HO", "functional": "PBE-GGA", "state": "optimized geometry", "cell": [[-2.711, -1.653, 4.135], [-3.548, -2.124, -3.175], [2.691, -4.465, -0.021]], "species": ["Sr", "Sr", "Sr", "O", "H"], "fractional_positions": [[0.000, 0.500, 0.000], [0.000, 0.000, 0.500], [0.500, 0.000, 0.000], [0.000, 0.000, 0.000], [0.500, 0.500, 0.500]], "polymorph_energy_ev_per_atom": 0.000, "energy_ev_per_atom": -3.335}

=====

# 6
{"formula": "SrH4O3", "functional": "PBE-GGA", "state": "optimized geometry", "cell": [[3.947, -0.014, -0.049], [-0.409, 5.600, 0.003], [-0.421, -0.066, 7.833]], "species": ["Sr", "Sr", "H", "H", "H", "H", "H", "H", "H", "H", "O", "O", "O", "O", "O", "O"], "fractional_positions": [[0.984, 0.374, 0.302], [0.985, 0.627, 0.778], [0.322, 0.976, 0.158], [0.787, 0.855, 0.129], [0.789, 0.093, 0.653], [0.201, 0.096, 0.655], [0.485, 0.392, 0.553], [0.482, 0.805, 0.585], [0.446, 0.282, 0.015], [0.606, 0.554, 0.015], [0.909, 0.717, 0.098], [0.003, 0.201, 0.627], [0.449, 0.131, 0.182], [0.485, 0.907, 0.690], [0.531, 0.530, 0.480], [0.467, 0.429, 0.935]], "polymorph_energy_ev_per_atom": 0.046, "energy_ev_per_atom": -5.257}

=====

# 7
{"formula": "SrHO2", "functional": "PBE-GGA", "state": "optimized geometry", "cell": [[4.196, 0.000, 0.000], [0.000, 4.196, 0.000], [2.098, 2.098, 4.943]], "species": ["Sr", "Sr", "O", "O", "O", "O", "H", "H"], "fractional_positions": [[0.000, 0.000, 0.000], [0.750, 0.250, 0.500], [0.375, 0.125, 0.250], [0.375, 0.625, 0.250], [0.375, 0.625, 0.750], [0.875, 0.625, 0.750], [0.500, 0.500, 0.000], [0.250, 0.750, 0.500]], "energy_ev_per_atom": -4.711}

=====

# 8
{"formula": "SrHO3", "functional": "PBE-GGA", "state": "optimized geometry", "cell": [[-0.587, 4.324, -1.932], [-1.230, -2.019, -4.146], [-4.574, -0.012, 1.363]], "species": ["Sr", "O", "O", "O", "H"], "fractional_positions": [[0.000, 0.000, 0.000], [0.000, 0.500, 0.000], [0.000, 0.000, 0.500], [0.500, 0.000, 0.000], [0.500, 0.500, 0.500]], "energy_ev_per_atom": -3.588}

=====

Please write out number 2 again, unchanged.
{"formula": "SrH12O7", "functional": "PBE-GGA", "state": "optimized geometry", "cell": [[5.786, 1.877, 1.348], [1.444, 5.909, 1.348], [1.743, 1.877, 5.680]], "species": ["Sr", "H", "H", "H", "H", "H", "H", "H", "H", "H", "H", "H", "H", "O", "O", "O", "O", "O", "O", "O"], "fractional_positions": [[0.000, 0.000, 0.000], [0.745, 0.207, 0.482], [0.518, 0.255, 0.793], [0.971, 0.544, 0.541], [0.459, 0.029, 0.456], [0.793, 0.518, 0.255], [0.456, 0.459, 0.029], [0.544, 0.541, 0.971], [0.207, 0.482, 0.745], [0.541, 0.971, 0.544], [0.029, 0.456, 0.459], [0.482, 0.745, 0.207], [0.255, 0.793, 0.518], [0.461, 0.896, 0.020], [0.980, 0.539, 0.104], [0.104, 0.980, 0.539], [0.500, 0.500, 0.500], [0.896, 0.020, 0.461], [0.020, 0.461, 0.896], [0.539, 0.104, 0.980]], "energy_ev_per_atom": -4.357}